(1)
# B5C7 (PBE, optimized geometry)
data_B5C7
_symmetry_space_group_name_H-M 'P 1'
_symmetry_Int_Tables_number 1
_symmetry_space_group_name_Hall 'P 1'
_cell_length_a 2.539
_cell_length_b 3.877
_cell_length_c 8.119
_cell_angle_alpha 91.45
_cell_angle_beta 90.00
_cell_angle_gamma 90.00
loop_
_atom_site_label
_atom_site_fract_x
_atom_site_fract_y
_atom_site_fract_z
B1 0.500 0.537 0.162
B2 0.000 0.235 0.200
B3 0.000 0.968 0.962
B4 0.500 0.515 0.505
B5 0.500 0.529 0.826
C1 0.500 0.767 0.006
C2 0.000 0.214 0.503
C3 0.000 0.981 0.348
C4 0.500 0.748 0.341
C5 0.000 0.237 0.821
C6 0.000 0.004 0.664
C7 0.500 0.767 0.663
# - Total moment: 0.00 μB per formula unit
# - Excess energy over the best structure of this formula in the dataset: 0.131 eV per atom
# - Calculated density: 2.87 Mg/m³

---

(2)
# LaCoH (PBE, optimized geometry)
data_LaCoH
_symmetry_space_group_name_H-M 'P 1'
_symmetry_Int_Tables_number 1
_symmetry_space_group_name_Hall 'P 1'
_cell_length_a 3.599
_cell_length_b 5.011
_cell_length_c 5.008
_cell_angle_alpha 93.29
_cell_angle_beta 90.31
_cell_angle_gamma 90.33
loop_
_atom_site_label
_atom_site_fract_x
_atom_site_fract_y
_atom_site_fract_z
La1 0.501 0.260 0.260
La2 0.499 0.740 0.740
Co1 0.000 0.783 0.217
Co2 0.000 0.217 0.783
H1 0.000 0.500 0.000
H2 0.000 0.000 0.500
# - Total moment: 0.00 μB per formula unit
# - Excess energy over the best structure of this formula in the dataset: 0.075 eV per atom
# - Calculated density: 7.32 Mg/m³

---

(3)
# Cs2LiIF6 (PBE, optimized geometry)
data_Cs2LiIF6
_symmetry_space_group_name_H-M 'P 1'
_symmetry_Int_Tables_number 1
_symmetry_space_group_name_Hall 'P 1'
_cell_length_a 6.555
_cell_length_b 6.555
_cell_length_c 6.411
_cell_angle_alpha 59.25
_cell_angle_beta 59.25
_cell_angle_gamma 90.00
loop_
_atom_site_label
_atom_site_fract_x
_atom_site_fract_y
_atom_site_fract_z
Cs1 0.750 0.250 0.500
Cs2 0.250 0.750 0.500
I1 0.000 0.000 0.000
Li1 0.500 0.500 0.000
F1 0.231 0.231 0.537
F2 0.769 0.769 0.463
F3 0.274 0.274 0.000
F4 0.726 0.726 0.000
F5 0.726 0.274 0.000
F6 0.274 0.726 0.000
# - Total moment: 2.00 μB per formula unit
# - Raw formation energy: -2086 meV per atom
# - Calculated density: 4.48 Mg/m³

---

(4)
# La2MgScH (PBE, optimized geometry)
data_La2MgScH
_symmetry_space_group_name_H-M 'P 1'
_symmetry_Int_Tables_number 1
_symmetry_space_group_name_Hall 'P 1'
_cell_length_a 5.090
_cell_length_b 5.090
_cell_length_c 4.649
_cell_angle_alpha 90.00
_cell_angle_beta 90.00
_cell_angle_gamma 90.00
loop_
_atom_site_label
_atom_site_fract_x
_atom_site_fract_y
_atom_site_fract_z
Sc1 0.500 0.500 0.500
H1 0.000 0.000 0.000
Mg1 0.000 0.000 0.500
La1 0.000 0.500 0.000
La2 0.500 0.000 0.000
# - Total moment: 0.00 μB per formula unit
# - Excess energy over the best structure of this formula in the dataset: 0.000 eV per atom
# - Calculated density: 4.80 Mg/m³

---

(5)
# Tc3NiAu (PBE, optimized geometry)
data_Tc3NiAu
_symmetry_space_group_name_H-M 'P 1'
_symmetry_Int_Tables_number 1
_symmetry_space_group_name_Hall 'P 1'
_cell_length_a 4.412
_cell_length_b 4.412
_cell_length_c 4.412
_cell_angle_alpha 90.00
_cell_angle_beta 90.00
_cell_angle_gamma 90.00
loop_
_atom_site_label
_atom_site_fract_x
_atom_site_fract_y
_atom_site_fract_z
Ni1 0.000 0.000 0.000
Au1 0.500 0.500 0.500
Tc1 0.000 0.500 0.000
Tc2 0.000 0.000 0.500
Tc3 0.500 0.000 0.000
# - Total moment: 0.00 μB per formula unit
# - Excess energy over the best structure of this formula in the dataset: 0.000 eV per atom
# - Calculated density: 10.63 Mg/m³

---

(6)
# ZnP4W (PBE, optimized geometry)
data_ZnP4W
_symmetry_space_group_name_H-M 'P 1'
_symmetry_Int_Tables_number 1
_symmetry_space_group_name_Hall 'P 1'
_cell_length_a 6.698
_cell_length_b 5.268
_cell_length_c 5.780
_cell_angle_alpha 91.34
_cell_angle_beta 90.00
_cell_angle_gamma 90.00
loop_
_atom_site_label
_atom_site_fract_x
_atom_site_fract_y
_atom_site_fract_z
P1 0.592 0.848 0.573
P2 0.592 0.152 0.927
P3 0.408 0.152 0.427
P4 0.408 0.848 0.073
P5 0.089 0.672 0.537
P6 0.089 0.328 0.963
P7 0.911 0.328 0.463
P8 0.911 0.672 0.037
Zn1 0.378 0.500 0.750
Zn2 0.622 0.500 0.250
W1 0.907 0.000 0.750
W2 0.093 0.000 0.250
# - Total moment: 0.00 μB per formula unit
# - Excess energy over the best structure of this formula in the dataset: 0.000 eV per atom
# - Calculated density: 6.08 Mg/m³

---

(7)
# Sr2CdRh (PBE, optimized geometry)
data_Sr2CdRh
_symmetry_space_group_name_H-M 'P 1'
_symmetry_Int_Tables_number 1
_symmetry_space_group_name_Hall 'P 1'
_cell_length_a 6.866
_cell_length_b 6.866
_cell_length_c 6.866
_cell_angle_alpha 148.51
_cell_angle_beta 135.16
_cell_angle_gamma 55.82
loop_
_atom_site_label
_atom_site_fract_x
_atom_site_fract_y
_atom_site_fract_z
Cd1 0.434 0.434 0.000
Rh1 0.264 0.764 0.500
Sr1 0.051 0.051 0.000
Sr2 0.751 0.251 0.500
# - Calculated total energy: -3.078 eV/atom
# - Total moment: 0.00 μB per formula unit
# - Calculated density: 5.48 Mg/m³

---

(8)
# SrTeAs (PBE, optimized geometry)
data_SrTeAs
_symmetry_space_group_name_H-M 'P 1'
_symmetry_Int_Tables_number 1
_symmetry_space_group_name_Hall 'P 1'
_cell_length_a 6.199
_cell_length_b 6.199
_cell_length_c 6.199
_cell_angle_alpha 139.32
_cell_angle_beta 139.32
_cell_angle_gamma 58.89
loop_
_atom_site_label
_atom_site_fract_x
_atom_site_fract_y
_atom_site_fract_z
Sr1 0.352 0.352 0.000
As1 0.946 0.946 0.000
Te1 0.702 0.702 0.000
# - Total moment: 0.00 μB per formula unit
# - Raw formation energy: -734 meV per atom
# - Calculated density: 4.80 Mg/m³

---

(9)
# Ca2Sm2C (PBE, optimized geometry)
data_Ca2Sm2C
_symmetry_space_group_name_H-M 'P 1'
_symmetry_Int_Tables_number 1
_symmetry_space_group_name_Hall 'P 1'
_cell_length_a 3.725
_cell_length_b 3.722
_cell_length_c 13.083
_cell_angle_alpha 89.81
_cell_angle_beta 81.82
_cell_angle_gamma 59.97
loop_
_atom_site_label
_atom_site_fract_x
_atom_site_fract_y
_atom_site_fract_z
Ca1 0.584 0.706 0.126
Ca2 0.416 0.294 0.874
Sm1 0.737 0.132 0.393
Sm2 0.263 0.868 0.607
C1 0.000 0.500 0.500
# - Calculated total energy: -4.604 eV/atom
# - Total moment: 0.31 μB per formula unit
# - Calculated density: 4.21 Mg/m³

---

(10)
# Sm6TlIn2 (PBE, optimized geometry)
data_Sm6TlIn2
_symmetry_space_group_name_H-M 'P 1'
_symmetry_Int_Tables_number 1
_symmetry_space_group_name_Hall 'P 1'
_cell_length_a 5.891
_cell_length_b 9.338
_cell_length_c 10.151
_cell_angle_alpha 90.00
_cell_angle_beta 84.34
_cell_angle_gamma 90.00
loop_
_atom_site_label
_atom_site_fract_x
_atom_site_fract_y
_atom_site_fract_z
Sm1 0.931 0.983 0.190
Sm2 0.939 0.664 0.574
Sm3 0.967 0.672 0.937
Sm4 0.533 0.172 0.563
Sm5 0.561 0.164 0.926
Sm6 0.569 0.483 0.310
Sm7 0.069 0.017 0.810
Sm8 0.061 0.336 0.426
Sm9 0.033 0.328 0.063
Sm10 0.467 0.828 0.437
Sm11 0.439 0.836 0.074
Sm12 0.431 0.517 0.690
Tl1 0.500 0.500 0.000
Tl2 0.000 0.000 0.500
In1 0.936 0.357 0.747
In2 0.564 0.857 0.753
In3 0.436 0.143 0.247
In4 0.064 0.643 0.253
# - Calculated total energy: -4.231 eV/atom
# - Total moment: 0.00 μB per formula unit
# - Calculated density: 7.99 Mg/m³

---

(11)
# MnSi2Mo (PBE, optimized geometry)
data_MnSi2Mo
_symmetry_space_group_name_H-M 'P 1'
_symmetry_Int_Tables_number 1
_symmetry_space_group_name_Hall 'P 1'
_cell_length_a 2.640
_cell_length_b 2.640
_cell_length_c 8.007
_cell_angle_alpha 90.00
_cell_angle_beta 90.00
_cell_angle_gamma 99.85
loop_
_atom_site_label
_atom_site_fract_x
_atom_site_fract_y
_atom_site_fract_z
Mn1 0.000 0.000 0.487
Mo1 0.500 0.500 0.743
Si1 0.000 0.000 0.994
Si2 0.500 0.500 0.277
# - Total moment: 1.83 μB per formula unit
# - Raw formation energy: 98 meV per atom
# - Calculated density: 6.25 Mg/m³

---

(12)
# HfMg2Co2 (PBE, optimized geometry)
data_HfMg2Co2
_symmetry_space_group_name_H-M 'P 1'
_symmetry_Int_Tables_number 1
_symmetry_space_group_name_Hall 'P 1'
_cell_length_a 7.064
_cell_length_b 7.064
_cell_length_c 3.157
_cell_angle_alpha 90.00
_cell_angle_beta 90.00
_cell_angle_gamma 90.00
loop_
_atom_site_label
_atom_site_fract_x
_atom_site_fract_y
_atom_site_fract_z
Co1 0.346 0.846 0.000
Co2 0.846 0.654 0.000
Co3 0.654 0.154 0.000
Co4 0.154 0.346 0.000
Mg1 0.144 0.644 0.500
Mg2 0.644 0.856 0.500
Mg3 0.856 0.356 0.500
Mg4 0.356 0.144 0.500
Hf1 0.000 0.000 0.000
Hf2 0.500 0.500 0.000
# - Calculated total energy: -5.392 eV/atom
# - Total moment: 0.00 μB per formula unit
# - Calculated density: 7.27 Mg/m³